Entry 1:
Below is an optimized crystal structure of Y5CoAg2, with properties calculated at the PBE-GGA level.

a = 8.7488 Å, b = 11.8138 Å, c = 4.0563 Å
α = 90.00°, β = 90.00°, γ = 90.00°
Atoms (fractional coordinates):
Y 0.0000 0.0000 0.0000
Y 0.1468 0.3062 0.0000
Y 0.1767 0.5738 0.5000
Y 0.3233 0.0738 0.5000
Y 0.3532 0.8062 0.0000
Y 0.5000 0.5000 0.0000
Y 0.6468 0.1938 0.0000
Y 0.6767 0.9262 0.5000
Y 0.8233 0.4262 0.5000
Y 0.8532 0.6938 0.0000
Co 0.0000 0.5000 0.0000
Co 0.5000 0.0000 0.0000
Ag 0.0687 0.8239 0.5000
Ag 0.4313 0.3239 0.5000
Ag 0.5687 0.6761 0.5000
Ag 0.9313 0.1761 0.5000

## Properties
**Calculated density**: 5.70 Mg/m³
**Energy of formation**: -0.208 eV per atom
**DOS(E_F)**: 8.631 states/eV/f.u.



Entry 2:
Below is an optimized crystal structure of Y8CoAg2, with properties calculated at the PBE-GGA level.

a = 9.0937 Å, b = 9.0937 Å, c = 6.8001 Å
α = 106.69°, β = 106.69°, γ = 33.52°
Atoms (fractional coordinates):
Y 0.0271 0.0271 0.2917
Y 0.2009 0.2009 0.8083
Y 0.3434 0.3434 0.5328
Y 0.4112 0.4112 0.0729
Y 0.5888 0.5888 0.9271
Y 0.6566 0.6566 0.4672
Y 0.7991 0.7991 0.1917
Y 0.9729 0.9729 0.7083
Co 0.5000 0.5000 0.5000
Ag 0.1846 0.1846 0.2196
Ag 0.8154 0.8154 0.7804

## Properties
**Calculated density**: 5.53 Mg/m³
**Energy of formation**: -0.125 eV per atom
**DOS(E_F)**: 10.915 states/eV/f.u.



Entry 3:
Below is an optimized crystal structure of Y2CoAg, with properties calculated at the PBE-GGA level.

a = 3.4092 Å, b = 3.4092 Å, c = 7.4424 Å
α = 90.00°, β = 90.00°, γ = 90.00°
Atoms (fractional coordinates):
Y 0.0000 0.0000 0.2217
Y 0.0000 0.0000 0.7783
Co 0.5000 0.5000 0.0000
Ag 0.5000 0.5000 0.5000

## Properties
**Calculated density**: 6.62 Mg/m³
**Energy of formation**: -0.236 eV per atom
**DOS(E_F)**: 2.735 states/eV/f.u.



Entry 4:
Below is an optimized crystal structure of Y7Co2Ag2, with properties calculated at the PBE-GGA level.

a = 6.6663 Å, b = 6.6663 Å, c = 6.9873 Å
α = 90.00°, β = 90.00°, γ = 109.74°
Atoms (fractional coordinates):
Y 0.0000 0.0000 0.0000
Y 0.0000 0.5000 0.2477
Y 0.0000 0.5000 0.7523
Y 0.5000 0.0000 0.2477
Y 0.5000 0.0000 0.7523
Y 0.5000 0.5000 0.2394
Y 0.5000 0.5000 0.7606
Co 0.2933 0.7067 0.0000
Co 0.7067 0.2933 0.0000
Ag 0.1786 0.1786 0.5000
Ag 0.8214 0.8214 0.5000

## Properties
**Calculated density**: 5.43 Mg/m³
**Energy of formation**: -0.096 eV per atom
**DOS(E_F)**: 10.987 states/eV/f.u.